! PBE Na3BiH, optimized geometry; values from VASP
&SYSTEM
  ibrav = 0, nat = 5, ntyp = 3
/
ATOMIC_SPECIES
Na 22.99 Na.upf
Bi 208.98 Bi.upf
H 1.01 H.upf
ATOMIC_POSITIONS angstrom
Na 0.000 0.000 2.425
Na 0.000 2.425 0.000
Na 2.425 0.000 0.000
Bi 2.425 2.425 2.425
H 0.000 0.000 0.000
CELL_PARAMETERS angstrom
4.850 0.000 0.000
0.000 4.850 0.000
0.000 0.000 4.850
! Offset from the most stable computed form ... 0.034 eV/atom
! Electronic total energy ... -12.3 eV for the cell shown
! Fermi-level density of states ... 3.72 states/eV/cell
! V ... 114.1 Å³/cell